No. 1
Computed, not measured: Hf3Pa after structural relaxation at the PBE level of DFT.

Space-group type = Cmcm
Total energy = -9.773 eV per atom
Formation enthalpy at 0 K = 66 meV per atom
Excess energy over the best structure of this formula in the dataset = 0 meV per atom

Structure (extended XYZ):
```
8
Lattice="4.602 -4.477 0.000 4.602 4.477 0.000 0.000 0.000 4.483" Properties=species:S:1:pos:R:3 pbc="T T T"
Hf 2.164 1.165 3.362
Hf 4.602 3.268 3.362
Hf 2.164 -1.165 1.121
Hf 7.040 1.165 3.362
Hf 4.602 -3.268 1.121
Hf 7.040 -1.165 1.121
Pa 4.602 0.957 1.121
Pa 4.602 -0.957 3.362
```

---

No. 2
Computed, not measured: BaPt2Pb after structural relaxation at the PBE level of DFT.

Space-group type = R3m
Total energy = -4.928 eV per atom
Formation enthalpy at 0 K = -500 meV per atom

Structure (extended XYZ):
```
4
Lattice="2.307 1.332 6.086 -2.307 1.332 6.086 0.000 -2.664 6.086" Properties=species:S:1:pos:R:3 pbc="T T T"
Ba 0.000 0.000 0.000
Pt 0.000 0.000 8.305
Pt 0.000 0.000 14.343
Pb 0.000 0.000 3.532
```

---

No. 3
Computed, not measured: Er2Si2NiRh5 after structural relaxation at the PBE level of DFT.

Space-group type = P4/mbm
Total energy = -7.052 eV per atom
E_form (uncorrected) = -0.801 eV/atom

Structure (extended XYZ):
```
20
Lattice="9.627 0.000 0.000 0.000 9.627 0.000 0.000 0.000 3.431" Properties=species:S:1:pos:R:3 pbc="T T T"
Er 1.672 3.142 0.000
Er 3.142 7.955 0.000
Er 6.486 1.672 0.000
Er 7.955 6.486 0.000
Si 1.224 6.038 0.000
Si 3.590 1.224 0.000
Si 6.038 8.403 0.000
Si 8.403 3.590 0.000
Ni 0.000 0.000 0.000
Ni 4.814 4.814 0.000
Rh 0.000 4.814 1.715
Rh 0.651 7.623 1.715
Rh 2.004 0.651 1.715
Rh 2.809 5.464 1.715
Rh 4.163 2.809 1.715
Rh 4.814 0.000 1.715
Rh 5.464 6.818 1.715
Rh 6.818 4.163 1.715
Rh 7.623 8.977 1.715
Rh 8.977 2.004 1.715
```

---

No. 4
Computed, not measured: Al2Cu3Ag after structural relaxation at the PBE level of DFT.

Space-group type = C2/c
Total energy = -3.880 eV per atom
Formation enthalpy at 0 K = -109 meV per atom

Structure (extended XYZ):
```
12
Lattice="2.656 -3.932 0.000 2.656 3.932 0.000 -1.978 0.000 7.981" Properties=species:S:1:pos:R:3 pbc="T T T"
Al 0.706 0.987 0.787
Al -0.283 -0.987 4.777
Al 3.617 0.987 3.203
Al 2.628 -0.987 7.194
Cu 0.935 0.960 3.451
Cu 1.173 0.923 5.985
Cu -0.054 -0.960 7.442
Cu 3.388 0.960 0.539
Cu 2.162 -0.923 1.995
Cu 2.399 -0.960 4.529
Ag 2.162 2.900 1.995
Ag 1.173 -2.900 5.985
```

---

No. 5
Computed, not measured: TlReSi after structural relaxation at the PBE level of DFT.

Space-group type = F-43m
Total energy = -5.827 eV per atom
E_form (uncorrected) = 0.919 eV/atom
Excess energy over the best structure of this formula in the dataset = 503 meV per atom

Structure (extended XYZ):
```
3
Lattice="0.000 3.039 3.039 3.039 0.000 3.039 3.039 3.039 0.000" Properties=species:S:1:pos:R:3 pbc="T T T"
Tl 0.000 0.000 0.000
Re 3.039 3.039 3.039
Si 4.559 4.559 4.559
```

---

No. 6
Computed, not measured: AsIr3Pd after structural relaxation at the PBE level of DFT.

Space-group type = Pm-3m
Total energy = -5.153 eV per atom
Formation enthalpy at 0 K = 2132 meV per atom
Excess energy over the best structure of this formula in the dataset = 951 meV per atom

Structure (extended XYZ):
```
5
Lattice="4.753 0.000 0.000 0.000 4.753 0.000 0.000 0.000 4.753" Properties=species:S:1:pos:R:3 pbc="T T T"
As 0.000 0.000 0.000
Ir 0.000 2.377 2.377
Ir 2.377 0.000 2.377
Ir 2.377 2.377 0.000
Pd 2.377 2.377 2.377
```

---

No. 7
Computed, not measured: RbHgPd2Pb2 after structural relaxation at the PBE level of DFT.

Space-group type = P4/mmm
Total energy = -3.277 eV per atom
Formation enthalpy at 0 K = -98 meV per atom

Structure (extended XYZ):
```
6
Lattice="5.195 0.000 0.000 0.000 5.195 0.000 0.000 0.000 6.617" Properties=species:S:1:pos:R:3 pbc="T T T"
Rb 0.000 0.000 0.000
Hg 0.000 0.000 3.308
Pd 0.000 2.597 3.308
Pd 2.597 0.000 3.308
Pb 2.597 2.597 1.744
Pb 2.597 2.597 4.873
```

---

No. 8
Computed, not measured: CsSn2Hg2 after structural relaxation at the PBE level of DFT.

Space-group type = I4/mmm
Total energy = -2.042 eV per atom
Formation enthalpy at 0 K = -150 meV per atom
Excess energy over the best structure of this formula in the dataset = 0 meV per atom

Structure (extended XYZ):
```
5
Lattice="-2.661 2.661 5.871 2.661 -2.661 5.871 2.661 2.661 -5.871" Properties=species:S:1:pos:R:3 pbc="T T T"
Cs 0.000 0.000 0.000
Sn 0.000 0.000 4.392
Sn 0.000 0.000 7.349
Hg 2.661 0.000 2.935
Hg 0.000 2.661 2.935
```

---

No. 9
Computed, not measured: BeSnB after structural relaxation at the PBE level of DFT.

Space-group type = P-1
Total energy = -4.587 eV per atom
Formation enthalpy at 0 K = 215 meV per atom
Excess energy over the best structure of this formula in the dataset = 106 meV per atom

Structure (extended XYZ):
```
6
Lattice="3.069 0.000 0.000 0.800 3.108 0.000 0.617 0.945 9.073" Properties=species:S:1:pos:R:3 pbc="T T T"
Be 1.273 1.890 3.655
Be 3.214 2.163 5.418
Sn 1.847 3.480 7.457
Sn 2.639 0.572 1.616
B 1.855 3.501 4.946
B 2.631 0.552 4.127
```

---

No. 10
Computed, not measured: Ba2PW after structural relaxation at the PBE level of DFT.

Space-group type = I-4m2
Total energy = -4.658 eV per atom
Formation enthalpy at 0 K = 894 meV per atom

Structure (extended XYZ):
```
4
Lattice="-2.392 2.392 5.405 2.392 -2.392 5.405 2.392 2.392 -5.405" Properties=species:S:1:pos:R:3 pbc="T T T"
Ba 0.000 0.000 0.000
Ba 0.000 2.392 2.702
P 2.392 0.000 2.702
W 0.000 0.000 5.405
```

---

No. 11
Computed, not measured: Ba2Sr2S after structural relaxation at the PBE level of DFT.

Space-group type = P4/mbm
Total energy = -2.757 eV per atom
E_form (uncorrected) = -0.489 eV/atom
Excess energy over the best structure of this formula in the dataset = 7 meV per atom

Structure (extended XYZ):
```
10
Lattice="8.124 0.000 0.000 0.000 8.124 0.000 0.000 0.000 7.601" Properties=species:S:1:pos:R:3 pbc="T T T"
Ba 1.364 2.698 0.000
Ba 2.698 6.760 0.000
Ba 5.426 1.364 0.000
Ba 6.760 5.426 0.000
Sr 1.493 5.555 3.800
Sr 2.569 1.493 3.800
Sr 5.555 6.630 3.800
Sr 6.630 2.569 3.800
S 0.000 0.000 3.800
S 4.062 4.062 3.800
```

---

No. 12
Computed, not measured: Tl2ZnPb after structural relaxation at the PBE level of DFT.

Space-group type = I4/mmm
Total energy = -2.292 eV per atom
Formation enthalpy at 0 K = 137 meV per atom
Excess energy over the best structure of this formula in the dataset = 53 meV per atom

Structure (extended XYZ):
```
4
Lattice="-2.319 2.319 5.140 2.319 -2.319 5.140 2.319 2.319 -5.140" Properties=species:S:1:pos:R:3 pbc="T T T"
Tl 2.319 0.000 2.570
Tl 0.000 2.319 2.570
Zn 0.000 0.000 0.000
Pb 0.000 0.000 5.140
```

---

No. 13
Computed, not measured: CaTaFe2As after structural relaxation at the PBE level of DFT.

Space-group type = P4/mmm
Total energy = -6.524 eV per atom
Formation enthalpy at 0 K = 562 meV per atom

Structure (extended XYZ):
```
5
Lattice="4.693 0.000 0.000 0.000 4.693 0.000 0.000 0.000 5.016" Properties=species:S:1:pos:R:3 pbc="T T T"
Ca 0.000 0.000 0.000
Ta 2.346 2.346 2.508
Fe 0.000 2.346 2.508
Fe 2.346 0.000 2.508
As 2.346 2.346 0.000
```

---

No. 14
Computed, not measured: SbTe3Cl after structural relaxation at the PBE level of DFT.

Space-group type = Pm-3m
Total energy = -2.538 eV per atom
E_form (uncorrected) = 0.541 eV/atom
Excess energy over the best structure of this formula in the dataset = 734 meV per atom

Structure (extended XYZ):
```
5
Lattice="5.738 0.000 0.000 0.000 5.738 0.000 0.000 0.000 5.738" Properties=species:S:1:pos:R:3 pbc="T T T"
Sb 0.000 0.000 0.000
Te 0.000 0.000 2.869
Te 0.000 2.869 0.000
Te 2.869 0.000 0.000
Cl 2.869 2.869 2.869
```

---

No. 15
Computed, not measured: Na2ZrAsO6 after structural relaxation at the PBE level of DFT.

Space-group type = P-3m1
Total energy = -6.268 eV per atom
E_form (uncorrected) = -1.710 eV/atom

Structure (extended XYZ):
```
10
Lattice="6.150 0.000 0.000 -3.075 5.326 0.000 0.000 0.000 5.449" Properties=species:S:1:pos:R:3 pbc="T T T"
Na 0.000 3.551 2.487
Na 3.075 1.775 2.962
Zr 0.000 0.000 0.000
As 0.000 0.000 2.725
O 0.000 1.469 1.567
O -1.802 4.591 1.567
O 1.273 0.735 3.883
O 1.802 4.591 1.567
O 4.877 0.735 3.883
O 3.075 3.857 3.883
```

---

No. 16
Computed, not measured: Sr2CaZn3Pd4 after structural relaxation at the PBE level of DFT.

Space-group type = P-4m2
Total energy = -3.571 eV per atom
Formation enthalpy at 0 K = -575 meV per atom

Structure (extended XYZ):
```
10
Lattice="4.372 0.000 0.000 0.000 4.372 0.000 0.000 0.000 11.439" Properties=species:S:1:pos:R:3 pbc="T T T"
Sr 0.000 2.186 2.582
Sr 2.186 0.000 8.857
Ca 0.000 0.000 5.719
Zn 0.000 2.186 10.075
Zn 2.186 0.000 1.363
Zn 2.186 2.186 5.719
Pd 0.000 0.000 0.000
Pd 0.000 2.186 7.502
Pd 2.186 0.000 3.936
Pd 2.186 2.186 0.000
```

---

No. 17
Computed, not measured: Ce5Mg2Al after structural relaxation at the PBE level of DFT.

Space-group type = I4/mmm
Total energy = -4.633 eV per atom
Formation enthalpy at 0 K = -58 meV per atom

Structure (extended XYZ):
```
8
Lattice="-2.300 2.300 9.781 2.300 -2.300 9.781 2.300 2.300 -9.781" Properties=species:S:1:pos:R:3 pbc="T T T"
Ce 0.000 0.000 0.000
Ce 2.300 0.000 2.322
Ce 2.300 0.000 7.459
Ce 0.000 2.300 2.322
Ce 0.000 2.300 7.459
Mg 0.000 0.000 4.877
Mg 0.000 0.000 14.685
Al 0.000 0.000 9.781
```

---

No. 18
Computed, not measured: YPu5S6 after structural relaxation at the PBE level of DFT.

Space-group type = C2/m
Total energy = -10.384 eV per atom
E_form (uncorrected) = -1.810 eV/atom

Structure (extended XYZ):
```
12
Lattice="3.428 -5.930 0.000 3.428 5.930 0.000 -2.282 0.000 6.460" Properties=species:S:1:pos:R:3 pbc="T T T"
Y 0.000 0.000 0.000
Pu 2.287 3.953 3.230
Pu 3.428 1.977 0.000
Pu 2.287 0.000 3.230
Pu 3.428 -1.977 0.000
Pu 2.287 -3.953 3.230
S 1.143 1.976 1.612
S 0.001 0.000 4.844
S 1.143 -1.976 1.612
S 3.431 1.976 4.847
S 4.573 0.000 1.616
S 3.431 -1.976 4.847
```

---

No. 19
Computed, not measured: Pr5Ho2Hg4 after structural relaxation at the PBE level of DFT.

Space-group type = C2/m
Total energy = -3.155 eV per atom
Formation enthalpy at 0 K = -41 meV per atom

Structure (extended XYZ):
```
11
Lattice="17.028 -1.740 0.000 17.028 1.740 0.000 -0.334 0.000 5.719" Properties=species:S:1:pos:R:3 pbc="T T T"
Pr 0.000 0.000 0.000
Pr 9.907 0.000 5.379
Pr 12.224 0.000 2.768
Pr 21.498 0.000 2.951
Pr 23.815 0.000 0.340
Ho 13.642 0.000 5.707
Ho 20.080 0.000 0.013
Hg 7.171 0.000 3.314
Hg 15.375 0.000 2.900
Hg 18.346 0.000 2.819
Hg 26.551 0.000 2.405
```

---

No. 20
Computed, not measured: BaAcTbTl after structural relaxation at the PBE level of DFT.

Space-group type = F-43m
Total energy = -3.144 eV per atom
Formation enthalpy at 0 K = 113 meV per atom

Structure (extended XYZ):
```
4
Lattice="0.000 4.220 4.220 4.220 0.000 4.220 4.220 4.220 0.000" Properties=species:S:1:pos:R:3 pbc="T T T"
Ba 0.000 0.000 0.000
Ac 6.330 6.330 6.330
Tb 4.220 4.220 4.220
Tl 2.110 2.110 2.110
```

---

No. 21
Computed, not measured: Li2Pr3Au3 after structural relaxation at the PBE level of DFT.

Space-group type = P6_3/mcm
Total energy = -4.075 eV per atom
Formation enthalpy at 0 K = -575 meV per atom
Excess energy over the best structure of this formula in the dataset = 10 meV per atom

Structure (extended XYZ):
```
16
Lattice="8.919 0.000 0.000 -4.460 7.724 0.000 0.000 0.000 5.799" Properties=species:S:1:pos:R:3 pbc="T T T"
Li 0.000 5.150 0.000
Li 0.000 5.150 2.900
Li 4.460 2.575 0.000
Li 4.460 2.575 2.900
Pr -1.174 2.034 1.450
Pr -3.285 5.691 4.349
Pr 2.348 0.000 1.450
Pr 1.174 2.034 4.349
Pr 6.571 0.000 4.349
Pr 3.285 5.691 1.450
Au -1.767 3.061 4.349
Au -2.693 4.664 1.450
Au 3.534 0.000 4.349
Au 1.767 3.061 1.450
Au 5.385 0.000 1.450
Au 2.693 4.664 4.349
```

---

No. 22
Computed, not measured: UTcN after structural relaxation at the PBE level of DFT.

Space-group type = Fddd
Total energy = -10.468 eV per atom
E_form (uncorrected) = -0.475 eV/atom
Excess energy over the best structure of this formula in the dataset = 0 meV per atom

Structure (extended XYZ):
```
12
Lattice="0.000 4.329 5.466 3.720 0.000 5.466 3.720 4.329 0.000" Properties=species:S:1:pos:R:3 pbc="T T T"
U 2.790 3.247 0.443
U 4.650 5.411 3.176
U 2.790 3.247 7.756
U 4.650 5.411 10.489
Tc 3.720 2.164 2.733
Tc 1.860 4.329 2.733
Tc 1.860 2.164 5.466
Tc 3.720 4.329 5.466
N 5.013 3.247 4.100
N 6.873 5.411 6.833
N 0.566 3.247 4.100
N 2.426 5.411 6.833
```

---

No. 23
Computed, not measured: Sr2NiP3Pt12 after structural relaxation at the PBE level of DFT.

Space-group type = R-3m
Total energy = -5.756 eV per atom
Formation enthalpy at 0 K = -319 meV per atom

Structure (extended XYZ):
```
18
Lattice="4.116 2.376 6.149 -4.116 2.376 6.149 0.000 -4.753 6.149" Properties=species:S:1:pos:R:3 pbc="T T T"
Sr 0.000 0.000 2.129
Sr 0.000 0.000 16.318
Ni 0.000 0.000 9.223
P -2.058 -1.188 6.149
P -2.058 1.188 12.298
P 0.000 2.376 6.149
Pt -1.957 -1.130 8.398
Pt 0.000 -2.083 5.610
Pt -1.804 1.042 5.610
Pt 0.000 -2.260 10.049
Pt -1.957 1.130 10.049
Pt -1.804 -1.042 12.837
Pt 1.804 1.042 5.610
Pt 1.957 -1.130 8.398
Pt 0.000 2.260 8.398
Pt 1.804 -1.042 12.837
Pt 0.000 2.083 12.837
Pt 1.957 1.130 10.049
```

---

No. 24
Computed, not measured: Rb2BSeI6 after structural relaxation at the PBE level of DFT.

Space-group type = I4/mmm
Total energy = -2.467 eV per atom
E_form (uncorrected) = -0.327 eV/atom

Structure (extended XYZ):
```
10
Lattice="-4.369 4.369 5.382 4.369 -4.369 5.382 4.369 4.369 -5.382" Properties=species:S:1:pos:R:3 pbc="T T T"
Rb 4.369 0.000 2.691
Rb 0.000 4.369 2.691
B 0.000 0.000 0.000
Se 0.000 0.000 5.382
I 0.000 0.000 2.118
I 2.311 2.311 0.000
I 2.058 -2.058 5.382
I -2.058 2.058 5.382
I 2.058 2.058 5.382
I 0.000 0.000 8.645
```